No. 1
The following is a DFT calculation (PBEsol) of a relaxed structure of KCo2.

Values from the calculation:
Formation energy from the elements, meV per atom: 867

Cell: 2.6163 6.3045 8.0059 Å, 112.05 90.00 101.98°
Site moments in Bohr magnetons follow the coordinates.
Fractional positions:
Co1 0.4480 0.8960 0.2890  1.64
Co2 0.9064 0.8128 0.4988  1.70
Co3 0.5520 0.1040 0.7110  1.64
Co4 0.0936 0.1872 0.5012  1.70
K1 0.8338 0.6675 0.8353  -0.02
K2 0.1662 0.3325 0.1647  -0.02

No. 2
The following is a DFT calculation (PBEsol) of a relaxed structure of KCo.

Values from the calculation:
Formation energy from the elements, meV per atom: 712
Polymorph energy (0 for the lowest one), meV per atom: 11

Cell: 3.2375 3.2375 9.8177 Å, 90.00 90.00 90.00°
Site moments in Bohr magnetons follow the coordinates.
Fractional positions:
Co1 0.0000 0.5000 0.9770  1.72
Co2 0.5000 0.0000 0.0230  1.72
K1 0.5000 0.0000 0.7178  -0.02
K2 0.0000 0.5000 0.2822  -0.02

No. 3
The following is a DFT calculation (PBEsol) of a relaxed structure of KCo.

Values from the calculation:
Formation energy from the elements, meV per atom: 1352
Polymorph energy (0 for the lowest one), meV per atom: 651

Cell: 4.9363 4.9363 4.9363 Å, 60.00 60.00 60.00°
Site moments in Bohr magnetons follow the coordinates.
Fractional positions:
Co1 0.7500 0.7500 0.7500  1.86
Co2 0.5000 0.5000 0.5000  1.86
K1 0.2500 0.2500 0.2500  -0.01
K2 0.0000 0.0000 0.0000  -0.01

No. 4
The following is a DFT calculation (PBEsol) of a relaxed structure of KCo.

Values from the calculation:
Formation energy from the elements, meV per atom: 701
Polymorph energy (0 for the lowest one), meV per atom: 0

Cell: 3.8175 3.8222 9.4746 Å, 99.28 90.00 119.96°
Site moments in Bohr magnetons follow the coordinates.
Fractional positions:
K1 0.0697 0.1393 0.2628  -0.01
K2 0.9303 0.8607 0.7372  -0.01
Co1 0.6666 0.3332 0.0000  1.47
Co2 0.3334 0.6668 0.0000  1.47

No. 5
The following is a DFT calculation (PBEsol) of a relaxed structure of K2LaCo.

Values from the calculation:
Formation energy from the elements, meV per atom: 946
Polymorph energy (0 for the lowest one), meV per atom: 584

Cell: 5.4479 5.4479 5.4479 Å, 60.00 60.00 60.00°
Site moments in Bohr magnetons follow the coordinates.
Fractional positions:
La1 0.2500 0.2500 0.2500  -0.34
K1 0.0000 0.0000 0.0000  -0.04
K2 0.7500 0.7500 0.7500  -0.02
Co1 0.5000 0.5000 0.5000  0.98

No. 6
The following is a DFT calculation (PBEsol) of a relaxed structure of KLa2Co.

Values from the calculation:
Formation energy from the elements, meV per atom: 744
Polymorph energy (0 for the lowest one), meV per atom: 734

Cell: 4.1715 5.0320 5.0320 Å, 90.01 90.00 90.00°
Fractional positions:
La1 0.0000 0.5000 0.0000
La2 0.0000 0.0000 0.5000
K1 0.5000 0.5000 0.5000
Co1 0.5000 0.0000 0.0000

No. 7
The following is a DFT calculation (PBEsol) of a relaxed structure of K2LaCo.

Values from the calculation:
Formation energy from the elements, meV per atom: 362
Polymorph energy (0 for the lowest one), meV per atom: 0

Cell: 4.1297 4.1297 11.2330 Å, 79.41 79.41 60.00°
Fractional positions:
K1 0.7619 0.7619 0.7144
K2 0.9705 0.9705 0.0885
Co1 0.2297 0.2297 0.3110
La1 0.5380 0.5380 0.3860

No. 8
The following is a DFT calculation (PBEsol) of a relaxed structure of KLa2Co.

Values from the calculation:
Formation energy from the elements, meV per atom: 9
Polymorph energy (0 for the lowest one), meV per atom: 0

Cell: 4.0436 4.0436 10.6776 Å, 79.09 79.09 60.00°
Fractional positions:
La1 0.2120 0.2120 0.3639
La2 0.7880 0.7880 0.6361
Co1 0.5000 0.5000 0.5000
K1 0.0000 0.0000 0.0000

No. 9
The following is a DFT calculation (PBEsol) of a relaxed structure of K2Li3CoO4.

Values from the calculation:
Uncorrected formation energy, meV per atom: -1501

Cell: 5.4932 8.6621 10.2454 Å, 90.00 98.44 90.00°
Site moments in Bohr magnetons follow the coordinates.
Fractional positions:
Li1 0.2985 0.4961 0.9324  0.00
Li2 0.6054 0.0277 0.7010  0.00
Li3 0.4254 0.2636 0.8013  0.00
Li4 0.9254 0.2364 0.3013  0.00
Li5 0.3946 0.9723 0.2990  0.00
Li6 0.7015 0.5039 0.0676  0.00
Li7 0.2015 0.9961 0.5676  0.00
Li8 0.5746 0.7364 0.1987  0.00
Li9 0.1054 0.4723 0.2010  0.00
Li10 0.8946 0.5277 0.7990  0.00
Li11 0.0746 0.7636 0.6987  0.00
Li12 0.7985 0.0039 0.4324  0.00
K1 0.1127 0.7283 0.3930  0.00
K2 0.6127 0.7717 0.8930  0.00
K3 0.6545 0.4923 0.3618  0.00
K4 0.1545 0.0077 0.8618  0.00
K5 0.8455 0.9923 0.1382  0.00
K6 0.8873 0.2717 0.6070  0.00
K7 0.3873 0.2283 0.1070  0.00
K8 0.3455 0.5077 0.6382  0.00
Co1 0.1619 0.7158 0.0628  2.71
Co2 0.3381 0.2158 0.4372  2.71
Co3 0.8381 0.2842 0.9372  2.71
Co4 0.6619 0.7842 0.5628  2.71
O1 0.1123 0.6910 0.8800  0.23
O2 0.8357 0.6049 0.6144  0.26
O3 0.1643 0.3951 0.3856  0.26
O4 0.6643 0.1049 0.8856  0.26
O5 0.3828 0.5511 0.1225  0.23
O6 0.6172 0.4489 0.8775  0.23
O7 0.6123 0.8090 0.3800  0.23
O8 0.3357 0.8951 0.1144  0.26
O9 0.1172 0.0511 0.3775  0.23
O10 0.3877 0.1910 0.6200  0.23
O11 0.3917 0.8261 0.6461  0.23
O12 0.8877 0.3090 0.1200  0.23
O13 0.8917 0.6739 0.1461  0.23
O14 0.8828 0.9489 0.6225  0.23
O15 0.1083 0.3261 0.8539  0.23
O16 0.6083 0.1739 0.3539  0.23

No. 10
The following is a DFT calculation (PBEsol) of a relaxed structure of KMg2Co.

Values from the calculation:
Formation energy from the elements, meV per atom: 805
Polymorph energy (0 for the lowest one), meV per atom: 10

Cell: 5.8166 5.8166 9.0803 Å, 108.68 108.68 90.00°
Site moments in Bohr magnetons follow the coordinates.
Fractional positions:
K1 0.7500 0.2500 0.5000  -0.01
K2 0.5000 0.5000 0.0000  -0.01
Mg1 0.1250 0.3750 0.2500  -0.01
Mg2 0.1250 0.8750 0.2500  -0.01
Mg3 0.6250 0.8750 0.7500  -0.01
Mg4 0.1250 0.8750 0.7500  -0.01
Co1 0.2500 0.7500 0.5000  1.13
Co2 0.0000 0.0000 0.0000  1.13

No. 11
The following is a DFT calculation (PBEsol) of a relaxed structure of KMgCo2.

Values from the calculation:
Formation energy from the elements, meV per atom: 1076

Cell: 2.7243 5.1036 5.7447 Å, 116.37 103.72 90.00°
Site moments in Bohr magnetons follow the coordinates.
Fractional positions:
K1 0.5000 0.0000 0.0000  -0.03
Co1 0.7251 0.7251 0.4501  1.60
Co2 0.2749 0.2749 0.5499  1.60
Mg1 0.0000 0.5000 0.0000  -0.02

No. 12
The following is a DFT calculation (PBEsol) of a relaxed structure of KMg2Co.

Values from the calculation:
Formation energy from the elements, meV per atom: 795
Polymorph energy (0 for the lowest one), meV per atom: 0

Cell: 4.7203 5.2897 4.7203 Å, 63.50 90.00 116.50°
Site moments in Bohr magnetons follow the coordinates.
Fractional positions:
Mg1 0.0000 0.0000 0.0000  -0.01
Mg2 0.2500 0.5000 0.2500  -0.02
Co1 0.5000 0.0000 0.5000  1.54
K1 0.7500 0.5000 0.7500  -0.01

No. 13
The following is a DFT calculation (PBEsol) of a relaxed structure of KMgCoSe2.

Values from the calculation:
Uncorrected formation energy, meV per atom: 1451

Cell: 5.0351 5.4907 5.4907 Å, 90.00 90.00 90.00°
Site moments in Bohr magnetons follow the coordinates.
Fractional positions:
Se1 0.0000 0.5000 0.0000  0.04
Se2 0.0000 0.0000 0.5000  0.04
K1 0.0000 0.0000 0.0000  0.00
Mg1 0.5000 0.0000 0.0000  0.00
Co1 0.5000 0.5000 0.5000  2.21

No. 14
The following is a DFT calculation (PBEsol) of a relaxed structure of K2MnCo.

Values from the calculation:
Formation energy from the elements, meV per atom: 1390
Polymorph energy (0 for the lowest one), meV per atom: 622

Cell: 2.9888 5.6730 6.1604 Å, 117.42 90.00 90.00°
Site moments in Bohr magnetons follow the coordinates.
Fractional positions:
Co1 0.5000 0.5000 0.0000  1.63
Mn1 0.5000 0.0000 0.0000  3.87
K1 0.0000 0.0000 0.5000  -0.04
K2 0.0000 0.5000 0.5000  -0.04

No. 15
The following is a DFT calculation (PBEsol) of a relaxed structure of KMn2Co.

Values from the calculation:
Formation energy from the elements, meV per atom: 726
Polymorph energy (0 for the lowest one), meV per atom: 0

Cell: 2.9397 2.9397 8.4883 Å, 90.00 90.00 90.00°
Site moments in Bohr magnetons follow the coordinates.
Fractional positions:
Mn1 0.0000 0.0000 0.8411  3.55
Mn2 0.0000 0.0000 0.1589  3.55
Co1 0.5000 0.5000 0.0000  1.50
K1 0.5000 0.5000 0.5000  0.00

No. 16
The following is a DFT calculation (PBEsol) of a relaxed structure of K2MnCo.

Values from the calculation:
Formation energy from the elements, meV per atom: 1530
Polymorph energy (0 for the lowest one), meV per atom: 763

Cell: 5.4998 5.4998 5.4998 Å, 60.00 60.00 60.00°
Site moments in Bohr magnetons follow the coordinates.
Fractional positions:
K1 0.7500 0.7500 0.7500  -0.01
K2 0.2500 0.2500 0.2500  -0.01
Co1 0.0000 0.0000 0.0000  1.91
Mn1 0.5000 0.5000 0.5000  4.23

No. 17
The following is a DFT calculation (PBEsol) of a relaxed structure of KMn2Co.

Values from the calculation:
Formation energy from the elements, meV per atom: 814
Polymorph energy (0 for the lowest one), meV per atom: 88

Cell: 2.8800 2.8800 8.0301 Å, 90.00 90.00 90.00°
Site moments in Bohr magnetons follow the coordinates.
Fractional positions:
Mn1 0.5000 0.5000 0.2732  1.44
Mn2 0.0000 0.0000 0.0893  3.32
Co1 0.0000 0.0000 0.4110  0.98
K1 0.5000 0.5000 0.7265  -0.01

No. 18
The following is a DFT calculation (PBEsol) of a relaxed structure of KMnCo2.

Values from the calculation:
Formation energy from the elements, meV per atom: 737
Polymorph energy (0 for the lowest one), meV per atom: 0

Cell: 2.8527 2.8527 7.6562 Å, 90.00 90.00 90.00°
Site moments in Bohr magnetons follow the coordinates.
Fractional positions:
Co1 0.0000 0.0000 0.3404  1.12
Co2 0.0000 0.0000 0.6596  1.12
Mn1 0.5000 0.5000 0.5000  1.83
K1 0.5000 0.5000 0.0000  -0.02

No. 19
The following is a DFT calculation (PBEsol) of a relaxed structure of KMnCo2.

Values from the calculation:
Formation energy from the elements, meV per atom: 1386
Polymorph energy (0 for the lowest one), meV per atom: 649

Cell: 4.3664 4.3664 4.3664 Å, 60.00 60.00 60.00°
Site moments in Bohr magnetons follow the coordinates.
Fractional positions:
Mn1 0.5000 0.5000 0.5000  3.26
K1 0.0000 0.0000 0.0000  -0.03
Co1 0.2500 0.2500 0.2500  1.33
Co2 0.7500 0.7500 0.7500  1.33

No. 20
The following is a DFT calculation (PBEsol) of a relaxed structure of K2MnCo.

Values from the calculation:
Formation energy from the elements, meV per atom: 768
Polymorph energy (0 for the lowest one), meV per atom: 0

Cell: 3.2717 3.2717 9.9761 Å, 90.00 90.00 90.00°
Site moments in Bohr magnetons follow the coordinates.
Fractional positions:
Co1 0.5000 0.5000 0.6568  1.06
K1 0.0000 0.0000 0.9128  -0.01
K2 0.5000 0.5000 0.3333  0.00
Mn1 0.0000 0.0000 0.5971  3.21

No. 21
The following is a DFT calculation (PBEsol) of a relaxed structure of KMn2Co.

Values from the calculation:
Formation energy from the elements, meV per atom: 1478
Polymorph energy (0 for the lowest one), meV per atom: 752

Cell: 4.5902 4.5902 4.5902 Å, 60.00 60.00 60.00°
Site moments in Bohr magnetons follow the coordinates.
Fractional positions:
Co1 0.5000 0.5000 0.5000  1.49
Mn1 0.7500 0.7500 0.7500  3.53
Mn2 0.0000 0.0000 0.0000  3.81
K1 0.2500 0.2500 0.2500  0.00

No. 22
The following is a DFT calculation (PBEsol) of a relaxed structure of K2MnCo.

Values from the calculation:
Formation energy from the elements, meV per atom: 1387
Polymorph energy (0 for the lowest one), meV per atom: 619

Cell: 3.0485 5.4247 5.6905 Å, 90.00 90.00 90.00°
Site moments in Bohr magnetons follow the coordinates.
Fractional positions:
K1 0.0000 0.0000 0.7444  -0.04
K2 0.0000 0.0000 0.2556  -0.04
Mn1 0.5000 0.5000 0.0000  3.90
Co1 0.5000 0.5000 0.5000  1.63

No. 23
The following is a DFT calculation (PBEsol) of a relaxed structure of KCo3Mo.

Values from the calculation:
Formation energy from the elements, meV per atom: 1419

Cell: 4.4908 4.4908 4.4908 Å, 90.00 90.00 90.00°
Site moments in Bohr magnetons follow the coordinates.
Fractional positions:
Co1 0.5000 0.0000 0.0000  0.36
Co2 0.0000 0.0000 0.5000  0.36
Co3 0.0000 0.5000 0.0000  0.36
Mo1 0.0000 0.0000 0.0000  -0.10
K1 0.5000 0.5000 0.5000  -0.01

No. 24
The following is a DFT calculation (PBEsol) of a relaxed structure of KCoMo2.

Values from the calculation:
Formation energy from the elements, meV per atom: 1402
Polymorph energy (0 for the lowest one), meV per atom: 556

Cell: 2.8787 5.3691 5.5276 Å, 119.06 105.09 90.00°
Fractional positions:
Mo1 0.0405 0.0405 0.0811
Mo2 0.7540 0.2540 0.5080
Co1 0.4623 0.4623 0.9246
K1 0.2431 0.7431 0.4863

No. 25
The following is a DFT calculation (PBEsol) of a relaxed structure of K4CoMo.

Values from the calculation:
Formation energy from the elements, meV per atom: 1710

Cell: 6.8851 6.8851 6.8851 Å, 60.00 60.00 60.00°
Site moments in Bohr magnetons follow the coordinates.
Fractional positions:
K1 0.3745 0.3745 0.8765  0.00
K2 0.3745 0.8765 0.3745  0.00
K3 0.3745 0.3745 0.3745  0.00
K4 0.8765 0.3745 0.3745  0.00
Co1 0.0000 0.0000 0.0000  2.06
Mo1 0.7500 0.7500 0.7500  3.92

No. 26
The following is a DFT calculation (PBEsol) of a relaxed structure of KCoMo2.

Values from the calculation:
Formation energy from the elements, meV per atom: 1666
Polymorph energy (0 for the lowest one), meV per atom: 820

Cell: 3.7143 3.7143 5.4719 Å, 109.84 109.84 90.00°
Site moments in Bohr magnetons follow the coordinates.
Fractional positions:
Co1 0.5000 0.5000 0.0000  1.04
Mo1 0.7500 0.2500 0.5000  -0.01
Mo2 0.2500 0.7500 0.5000  -0.01
K1 0.0000 0.0000 0.0000  -0.01

No. 27
The following is a DFT calculation (PBEsol) of a relaxed structure of KCoMo2.

Values from the calculation:
Formation energy from the elements, meV per atom: 846
Polymorph energy (0 for the lowest one), meV per atom: 0

Cell: 2.6710 3.5515 8.2344 Å, 90.00 90.00 90.00°
Fractional positions:
Mo1 0.5000 0.5000 0.2845
Mo2 0.0000 0.0000 0.0878
Co1 0.0000 0.0000 0.4059
K1 0.5000 0.5000 0.7218

No. 28
The following is a DFT calculation (PBEsol) of a relaxed structure of KCoMo.

Values from the calculation:
Formation energy from the elements, meV per atom: 2002

Cell: 4.3382 4.3382 4.3382 Å, 60.00 60.00 60.00°
Site moments in Bohr magnetons follow the coordinates.
Fractional positions:
K1 0.0000 0.0000 0.0000  0.03
Co1 0.2500 0.2500 0.2500  -0.23
Mo1 0.5000 0.5000 0.5000  1.17